1.
DFT (GGA-PBE) results for a relaxed structure of MnIrPt2.

a = 2.7800 Å, b = 2.7800 Å, c = 26.5633 Å
α = 90.00°, β = 90.00°, γ = 120.00°
Space group R3m (No. 160, hexagonal axes)
One atom of each set of equivalent atoms:
Mn 0.0000 0.0000 0.0000 x3
Ir 0.0000 0.0000 0.2584 x3
Pt 0.0000 0.0000 0.5035 x3
Pt 0.0000 0.0000 0.7457 x3

* formation energy: -0.13 eV per atom
* raw total energy: -7.6540 eV per atom
* total moment: 8.537 μB per cell

2.
DFT (GGA-PBE) results for a relaxed structure of MgAlBi2H.

a = 5.792 Å, b = 5.792 Å, c = 3.407 Å
α = 90.00°, β = 90.00°, γ = 90.00°
Space group P4/mmm (No. 123)
One atom of each set of equivalent atoms:
Mg 0.000 0.000 0.000 x1
Al 0.500 0.500 0.500 x1
Bi 0.000 0.500 0.500 x2
H 0.500 0.500 0.000 x1

* raw total energy: -3.2315 eV per atom
* total moment: 0.000 μB per cell

- The highest raw total energy belongs to which entry?
  MgAlBi2H

- The highest raw total energy belongs to which entry?
  MgAlBi2H

- The lowest raw total energy belongs to which entry?
  MnIrPt2